! LiMgNb (GGA-PBE, optimized geometry); values from VASP
! Excess energy over the best structure of this formula in the dataset in kJ/mol of atoms: 114.6
! Energy of formation in eV/atom: 1.35
! Symmetry: F-43m (216)
&SYSTEM
  ibrav = 0, nat = 3, ntyp = 3
/
ATOMIC_SPECIES
Nb 92.91 Nb.upf
Mg 24.30 Mg.upf
Li 6.94 Li.upf
CELL_PARAMETERS angstrom
0.000 3.248 3.248
3.248 0.000 3.248
3.248 3.248 0.000
ATOMIC_POSITIONS angstrom
Nb 3.248 3.248 3.248
Mg 4.871 4.871 4.871
Li 1.624 1.624 1.624

---

! KSbN2F (GGA-PBE, optimized geometry); values from VASP
! Excess energy over the best structure of this formula in the dataset in kJ/mol of atoms: 146.8
! Symmetry: P4/mmm (123)
! Energy relative to the elements, uncorrected in eV/atom: 1.409
&SYSTEM
  ibrav = 0, nat = 5, ntyp = 4
/
ATOMIC_SPECIES
Sb 121.76 Sb.upf
K 39.10 K.upf
N 14.01 N.upf
F 19.00 F.upf
CELL_PARAMETERS angstrom
-3.240 -3.724 -0.062
3.716 -3.238 0.283
-0.232 0.127 4.500
ATOMIC_POSITIONS angstrom
Sb 0.122 -3.418 2.361
K 0.000 0.000 0.000
N 1.858 -1.619 0.142
N -1.620 -1.862 -0.031
F -0.116 0.064 2.250

---

! BeCrNi2 (GGA-PBE, optimized geometry); values from VASP
! Energy of formation in eV/atom: -0.09
! Symmetry: I4/mmm (139)
&SYSTEM
  ibrav = 0, nat = 4, ntyp = 3
/
ATOMIC_SPECIES
Ni 58.69 Ni.upf
Be 9.01 Be.upf
Cr 52.00 Cr.upf
CELL_PARAMETERS angstrom
-0.610 -4.085 -0.753
3.274 -2.047 1.647
-2.558 2.849 1.721
ATOMIC_POSITIONS angstrom
Ni 0.000 0.000 0.000
Ni 1.332 -3.066 0.447
Be 1.024 -1.132 1.908
Cr -0.918 -2.151 0.707

---

! CuO (GGA-PBE, optimized geometry); values from VASP
! Symmetry: P6_3/m (176)
! Energy relative to the elements, uncorrected in eV/atom: -0.477
&SYSTEM
  ibrav = 0, nat = 12, ntyp = 2
/
ATOMIC_SPECIES
Cu 63.55 Cu.upf
O 16.00 O.upf
CELL_PARAMETERS angstrom
-1.861 -5.700 2.767
-1.383 1.197 -6.345
3.277 -1.560 -1.009
ATOMIC_POSITIONS angstrom
Cu -1.255 -5.097 0.287
Cu 0.136 -3.448 -4.777
Cu -1.289 -3.661 -2.045
Cu 1.288 -0.965 -4.874
Cu -0.103 -2.614 0.190
Cu 1.322 -2.401 -2.542
O -1.729 -2.842 -4.740
O 0.364 -4.123 -2.994
O -0.110 0.305 -4.347
O 1.762 -3.221 0.153
O -0.331 -1.939 -1.593
O 0.143 -6.368 -0.240

---

! NbSn2Pd2 (GGA-PBE, optimized geometry); values from VASP
! Energy of formation in eV/atom: -0.19
! Symmetry: P4/mbm (127)
&SYSTEM
  ibrav = 0, nat = 10, ntyp = 3
/
ATOMIC_SPECIES
Nb 92.91 Nb.upf
Sn 118.71 Sn.upf
Pd 106.42 Pd.upf
CELL_PARAMETERS angstrom
7.793 0.000 0.000
0.000 7.793 0.000
0.000 0.000 3.098
ATOMIC_POSITIONS angstrom
Nb 0.000 0.000 0.000
Nb 3.897 3.897 0.000
Sn 2.699 6.596 0.000
Sn 6.596 5.094 0.000
Sn 5.094 1.197 0.000
Sn 1.197 2.699 0.000
Pd 1.123 5.019 1.549
Pd 5.019 6.670 1.549
Pd 6.670 2.774 1.549
Pd 2.774 1.123 1.549

---

! ZrPaPdRh (GGA-PBE, optimized geometry); values from VASP
! Excess energy over the best structure of this formula in the dataset in kJ/mol of atoms: 17.8
! Energy of formation in eV/atom: -0.51
! Symmetry: F-43m (216)
&SYSTEM
  ibrav = 0, nat = 4, ntyp = 4
/
ATOMIC_SPECIES
Pa 231.04 Pa.upf
Rh 102.91 Rh.upf
Zr 91.22 Zr.upf
Pd 106.42 Pd.upf
CELL_PARAMETERS angstrom
4.823 0.000 0.000
2.412 4.177 0.000
2.412 1.392 3.938
ATOMIC_POSITIONS angstrom
Pa 2.412 1.392 0.985
Rh 4.823 2.785 1.969
Zr 7.235 4.177 2.954
Pd 0.000 0.000 0.000

---

! GdAlSi2 (GGA-PBE, optimized geometry); values from VASP
! Symmetry: R-3m (166)
! Energy relative to the elements, uncorrected in eV/atom: -0.332
&SYSTEM
  ibrav = 0, nat = 4, ntyp = 3
/
ATOMIC_SPECIES
Si 28.09 Si.upf
Gd 157.25 Gd.upf
Al 26.98 Al.upf
CELL_PARAMETERS angstrom
4.275 0.000 0.000
2.137 3.702 0.000
2.137 1.234 4.870
ATOMIC_POSITIONS angstrom
Si 2.137 1.234 0.655
Si 6.412 3.702 4.215
Gd 4.275 2.468 2.435
Al 0.000 0.000 0.000

---

! BaTa3Br (GGA-PBE, optimized geometry); values from VASP
! Excess energy over the best structure of this formula in the dataset in kJ/mol of atoms: 0.0
! Symmetry: Pm-3m (221)
! Energy relative to the elements, uncorrected in eV/atom: 1.515
&SYSTEM
  ibrav = 0, nat = 5, ntyp = 3
/
ATOMIC_SPECIES
Ba 137.33 Ba.upf
Br 79.90 Br.upf
Ta 180.95 Ta.upf
CELL_PARAMETERS angstrom
4.963 0.000 0.000
0.000 4.963 0.000
0.000 0.000 4.963
ATOMIC_POSITIONS angstrom
Ba 2.481 2.481 2.481
Br 0.000 0.000 0.000
Ta 0.000 2.481 0.000
Ta 0.000 0.000 2.481
Ta 2.481 0.000 0.000

---

! Sr2PtPb (GGA-PBE, optimized geometry); values from VASP
! Energy of formation in eV/atom: -0.33
! Symmetry: P4mm (99)
&SYSTEM
  ibrav = 0, nat = 4, ntyp = 3
/
ATOMIC_SPECIES
Pb 207.20 Pb.upf
Pt 195.08 Pt.upf
Sr 87.62 Sr.upf
CELL_PARAMETERS angstrom
-0.543 -1.002 4.120
4.236 -0.326 0.479
0.374 7.679 1.917
ATOMIC_POSITIONS angstrom
Pb 0.176 3.603 0.899
Pt 2.177 6.114 3.991
Sr 0.335 6.877 1.716
Sr 1.941 1.277 2.784

---

! Tb4Nd6Tm (GGA-PBE, optimized geometry); values from VASP
! Excess energy over the best structure of this formula in the dataset in kJ/mol of atoms: 0.0
! Energy of formation in eV/atom: 0.28
! Symmetry: I-42m (121)
&SYSTEM
  ibrav = 0, nat = 11, ntyp = 3
/
ATOMIC_SPECIES
Tb 158.93 Tb.upf
Nd 144.24 Nd.upf
Tm 168.93 Tm.upf
CELL_PARAMETERS angstrom
7.554 -3.099 -5.647
-5.260 8.159 2.077
-1.998 3.099 9.217
ATOMIC_POSITIONS angstrom
Tb -3.387 5.254 1.429
Tb 0.189 2.906 1.973
Tb -1.335 2.071 5.919
Tb -2.428 9.187 7.620
Nd -5.187 8.047 5.891
Nd -4.022 6.240 8.441
Nd -1.250 5.019 4.128
Nd 1.147 2.530 -1.785
Nd 3.499 0.112 -1.519
Nd 2.778 0.000 1.785
Tm 0.000 0.000 0.000

---

| no. | volume (Å³ per atom) |
| --- | --- |
| 1 | 22.83 |
| 2 | 21.98 |
| 3 | 10.54 |
| 4 | 11.85 |
| 5 | 18.82 |
| 6 | 19.84 |
| 7 | 19.27 |
| 8 | 24.44 |
| 9 | 36.20 |
| 10 | 34.73 |